<1>
The following is a DFT calculation (GGA-PBE) of a relaxed RbHgO crystal.

Cell: 5.149 5.858 12.980 Å, 90.00 90.00 90.00°
Fractional coordinates of all 12 atoms:
Rb1 0.000 0.000 0.178
Rb2 0.000 0.000 0.822
Rb3 0.500 0.500 0.322
Rb4 0.500 0.500 0.678
Hg1 0.000 0.271 0.500
Hg2 0.000 0.729 0.500
Hg3 0.500 0.229 0.000
Hg4 0.500 0.771 0.000
O1 0.000 0.000 0.378
O2 0.000 0.000 0.622
O3 0.500 0.500 0.122
O4 0.500 0.500 0.878

Computed properties:
As for the symmetry: Immm.

---

<2>
The following is a DFT calculation (GGA-PBE) of a relaxed RbHgO crystal.

Cell: 4.021 4.021 9.172 Å, 90.00 90.00 90.00°
Fractional coordinates of all 6 atoms:
Rb1 0.250 0.250 0.138
Rb2 0.750 0.750 0.862
Hg1 0.250 0.250 0.585
Hg2 0.750 0.750 0.415
O1 0.250 0.250 0.813
O2 0.750 0.750 0.187

Computed properties:
As for the symmetry: P4/nmm.

---

Stability check: which of them is most stable? <2>.